Entry 1:
LiAcAl4 PBE-GGA optimized geometry; space-group type = No. 216; V = 22.04 Å³ per atom; VASP energy = -22.15 eV/cell; energy relative to the lowest polymorph listed for this composition = 0.000 eV/atom; ΔE_f = -193 meV/atom
1.0
-5.427 0.989 -1.505
-4.265 -1.649 3.433
-3.080 3.911 2.814
Al Li Ac
4 1 1
Direct
0.625 0.625 0.125
0.625 0.625 0.625
0.125 0.625 0.625
0.625 0.125 0.625
0.000 0.000 0.000
0.250 0.250 0.250

---

Entry 2:
ScNiPb PBE-GGA optimized geometry; space-group type = No. 156; V = 19.57 Å³ per atom; VASP energy = -16.63 eV/cell; ΔE_f = -269 meV/atom
1.0
4.479 0.000 0.000
-2.239 3.879 0.000
0.000 0.000 3.380
Ni Sc Pb
1 1 1
Direct
0.000 0.000 0.165
0.333 0.667 0.667
0.667 0.333 0.167

---

Entry 3:
Pm2YIn2Ag2 PBE-GGA optimized geometry; space-group type = No. 166; V = 26.58 Å³ per atom; VASP energy = -29.26 eV/cell; ΔE_f = -302 meV/atom
1.0
-3.614 3.005 -1.249
-4.025 -1.769 -2.077
-6.296 -0.688 7.093
Ag Y Pm In
2 1 2 2
Direct
0.607 0.607 0.178
0.393 0.393 0.822
0.000 0.000 0.000
0.874 0.874 0.377
0.126 0.126 0.623
0.263 0.263 0.210
0.737 0.737 0.790

---

Number 3 is which compound? Pm2YIn2Ag2

---

Number 1 is which compound? LiAcAl4

---

Which of these has the lowest ΔE_f? Pm2YIn2Ag2